(1)
The following is a meta-GGA SCAN calculation of Ca3BiP at its PBEsol-relaxed geometry, from Alexandria.

```
Ca3BiP
1.0
7.7244 0.0000 0.0000
0.0000 10.6116 0.0000
0.0000 0.0000 7.4270
Ca Bi P
12 4 4
Direct
0.0331 0.2500 0.0939
0.1988 0.0481 0.6961
0.1988 0.4519 0.6961
0.3012 0.5481 0.1961
0.3012 0.9519 0.1961
0.4669 0.7500 0.5939
0.5331 0.2500 0.4061
0.6988 0.0481 0.8039
0.6988 0.4519 0.8039
0.8012 0.5481 0.3039
0.8012 0.9519 0.3039
0.9669 0.7500 0.9061
0.0608 0.7500 0.4835
0.4392 0.2500 0.9835
0.5608 0.7500 0.0165
0.9392 0.2500 0.5165
0.0000 0.0000 0.0000
0.0000 0.5000 0.0000
0.5000 0.0000 0.5000
0.5000 0.5000 0.5000
```

**Total magnetic moment**: 0.00 μB/f.u.
**E_form**: -1.1515 eV per atom
**Energy above the lowest structure with this stoichiometry**: 0.000 eV per atom
**DFT total energy**: -24.745 eV/atom


(2)
The following is a meta-GGA SCAN calculation of Ca3BiP at its PBEsol-relaxed geometry, from Alexandria.

```
Ca3BiP
1.0
5.3564 0.0000 0.0000
0.0000 5.3564 0.0000
0.0000 0.0000 5.3564
Ca Bi P
3 1 1
Direct
0.0000 0.0000 0.5000
0.0000 0.5000 0.0000
0.5000 0.0000 0.0000
0.5000 0.5000 0.5000
0.0000 0.0000 0.0000
```

**Total magnetic moment**: 0.00 μB/f.u.
**E_form**: -1.0792 eV per atom
**Energy above the lowest structure with this stoichiometry**: 0.072 eV per atom
**DFT total energy**: -24.673 eV/atom


(3)
The following is a meta-GGA SCAN calculation of CaBi2PPb at its PBEsol-relaxed geometry, from Alexandria.

```
CaBi2PPb
1.0
5.6913 0.0000 0.0000
0.0000 5.6913 0.0000
0.0000 0.0000 5.8075
Ca Bi P Pb
1 2 1 1
Direct
0.0000 0.0000 0.0000
0.0000 0.5000 0.5000
0.5000 0.0000 0.5000
0.5000 0.5000 0.0000
0.0000 0.0000 0.5000
```

**Total magnetic moment**: 0.00 μB/f.u.
**E_form**: 0.8058 eV per atom
**DFT total energy**: -49.795 eV/atom


(4)
The following is a meta-GGA SCAN calculation of CaSnBiPb2 at its PBEsol-relaxed geometry, from Alexandria.

```
CaSnBiPb2
1.0
5.6792 0.0000 0.0000
0.0000 5.6792 0.0000
0.0000 0.0000 5.6822
Ca Sn Bi Pb
1 1 1 2
Direct
0.0000 0.0000 0.0000
0.5000 0.5000 0.5000
0.0000 0.0000 0.5000
0.0000 0.5000 0.0000
0.5000 0.0000 0.0000
```

**Total magnetic moment**: 0.00 μB/f.u.
**E_form**: 0.5913 eV per atom
**DFT total energy**: -54.554 eV/atom


(5)
The following is a meta-GGA SCAN calculation of CaTcBi2Pb at its PBEsol-relaxed geometry, from Alexandria.

```
CaTcBi2Pb
1.0
5.6240 0.0000 0.0000
0.0000 5.6240 0.0000
0.0000 0.0000 5.6257
Ca Tc Bi Pb
1 1 2 1
Direct
0.0000 0.0000 0.0000
0.5000 0.5000 0.5000
0.0000 0.5000 0.0000
0.5000 0.0000 0.0000
0.0000 0.0000 0.5000
```

**Total magnetic moment**: 4.74 μB/f.u.
**E_form**: 1.3072 eV per atom
**DFT total energy**: -54.226 eV/atom


(6)
The following is a meta-GGA SCAN calculation of CaBi3Pd at its PBEsol-relaxed geometry, from Alexandria.

```
CaBi3Pd
1.0
5.3732 0.0000 0.0000
0.0000 5.3732 0.0000
0.0000 0.0000 5.3732
Ca Bi Pd
1 3 1
Direct
0.0000 0.0000 0.0000
0.0000 0.5000 0.5000
0.5000 0.0000 0.5000
0.5000 0.5000 0.0000
0.5000 0.5000 0.5000
```

**Total magnetic moment**: 0.00 μB/f.u.
**E_form**: -0.1086 eV per atom
**DFT total energy**: -55.744 eV/atom


(7)
The following is a meta-GGA SCAN calculation of Ca2BiPd2 at its PBEsol-relaxed geometry, from Alexandria.

```
Ca2BiPd2
1.0
7.6970 0.0000 0.0000
0.0000 7.6970 0.0000
0.0000 0.0000 3.7733
Ca Bi Pd
4 2 4
Direct
0.1712 0.3288 0.0000
0.3288 0.8288 0.0000
0.6712 0.1712 0.0000
0.8288 0.6712 0.0000
0.0000 0.0000 0.5000
0.5000 0.5000 0.5000
0.1268 0.6268 0.5000
0.3732 0.1268 0.5000
0.6268 0.8732 0.5000
0.8732 0.3732 0.5000
```

**Total magnetic moment**: 0.00 μB/f.u.
**E_form**: -0.7543 eV per atom
**DFT total energy**: -33.445 eV/atom


(8)
The following is a meta-GGA SCAN calculation of CaBi3Pt at its PBEsol-relaxed geometry, from Alexandria.

```
CaBi3Pt
1.0
5.5529 0.0000 0.0000
0.0000 5.5529 0.0000
0.0000 0.0000 5.5529
Ca Bi Pt
1 3 1
Direct
0.0000 0.0000 0.0000
0.0000 0.0000 0.5000
0.0000 0.5000 0.0000
0.5000 0.0000 0.0000
0.5000 0.5000 0.5000
```

**Total magnetic moment**: 0.00 μB/f.u.
**E_form**: 1.2461 eV per atom
**DFT total energy**: -61.873 eV/atom


(9)
The following is a meta-GGA SCAN calculation of CaBiPt2 at its PBEsol-relaxed geometry, from Alexandria.

```
CaBiPt2
1.0
-2.1843 2.1843 9.3145
2.1843 -2.1843 9.3145
2.1843 2.1843 -9.3145
Ca Bi Pt
2 2 4
Direct
0.0000 0.0000 0.0000
0.7500 0.2500 0.5000
0.2500 0.7500 0.5000
0.5000 0.5000 0.0000
0.1575 0.6250 0.0325
0.3750 0.4075 0.5325
0.5925 0.1250 0.9675
0.8750 0.8425 0.4675
```

**Total magnetic moment**: 0.00 μB/f.u.
**E_form**: -0.1770 eV per atom
**DFT total energy**: -57.334 eV/atom


(10)
The following is a meta-GGA SCAN calculation of CaBiSb2Pt at its PBEsol-relaxed geometry, from Alexandria.

```
CaBiSb2Pt
1.0
5.4362 0.0000 0.0000
0.0000 5.4362 0.0000
0.0000 0.0000 5.5559
Ca Bi Sb Pt
1 1 2 1
Direct
0.0000 0.0000 0.0000
0.0000 0.0000 0.5000
0.0000 0.5000 0.0000
0.5000 0.0000 0.0000
0.5000 0.5000 0.5000
```

**Total magnetic moment**: 0.00 μB/f.u.
**Formation energy from raw total energies**: 1295 meV/atom
**DFT total energy**: -45.297 eV/atom


(11)
The following is a meta-GGA SCAN calculation of CaTl2BiPt at its PBEsol-relaxed geometry, from Alexandria.

```
CaTl2BiPt
1.0
5.7671 0.0000 0.0000
0.0000 5.7671 0.0000
0.0000 0.0000 5.8652
Ca Tl Bi Pt
1 2 1 1
Direct
0.0000 0.0000 0.0000
0.0000 0.5000 0.5000
0.5000 0.0000 0.5000
0.0000 0.0000 0.5000
0.5000 0.5000 0.0000
```

**Total magnetic moment**: 0.00 μB/f.u.
**E_form**: 0.6859 eV per atom
**DFT total energy**: -59.945 eV/atom


(12)
The following is a meta-GGA SCAN calculation of RbCaBi3 at its PBEsol-relaxed geometry, from Alexandria.

```
RbCaBi3
1.0
5.9351 0.0000 0.0000
0.0000 5.9351 0.0000
0.0000 0.0000 5.9351
Rb Ca Bi
1 1 3
Direct
0.0000 0.0000 0.0000
0.5000 0.5000 0.5000
0.0000 0.0000 0.5000
0.0000 0.5000 0.0000
0.5000 0.0000 0.0000
```

**Total magnetic moment**: 0.00 μB/f.u.
**E_form**: 0.7656 eV per atom
**DFT total energy**: -52.463 eV/atom